[1]
Entry from Alexandria via LeMat-Bulk: a geometry-optimized CsRb2SnCl6 structure (GGA-PBE).

a = 11.7356 Å, b = 11.7356 Å, c = 11.7356 Å
α = 90.00°, β = 90.00°, γ = 90.00°
Space group Fm-3m (No. 225)
Inequivalent atoms, fractional coordinates:
Cs: 0.0000 0.0000 0.0000 (multiplicity 4)
Rb: 0.2500 0.2500 0.2500 (multiplicity 8)
Sn: 0.0000 0.0000 0.5000 (multiplicity 4)
Cl: 0.0000 0.0000 0.2758 (multiplicity 24)

## Properties
Energy ... -3.27 eV/atom
M_tot ... 0.1 μB per cell


[2]
Entry from Alexandria via LeMat-Bulk: a geometry-optimized CsRb2SnCl5 structure (GGA-PBE).

a = 5.4965 Å, b = 7.8933 Å, c = 15.9721 Å
α = 90.00°, β = 90.00°, γ = 90.00°
Space group Immm (No. 71)
Inequivalent atoms, fractional coordinates:
Cs: 0.0000 0.0000 0.0000 (multiplicity 2)
Rb: 0.0000 0.5000 0.2068 (multiplicity 4)
Sn: 0.0000 0.0000 0.5000 (multiplicity 2)
Cl: 0.0000 0.2467 0.3691 (multiplicity 8)
Cl: 0.0000 0.5000 0.0000 (multiplicity 2)

## Properties
Energy ... -3.43 eV/atom
M_tot ... 0.0 μB per cell


[3]
Entry from Alexandria via LeMat-Bulk: a geometry-optimized Cs3Rb2SnCl6 structure (GGA-PBE).

a = 8.2653 Å, b = 15.4746 Å, c = 8.0049 Å
α = 90.00°, β = 111.09°, γ = 90.00°
Space group C2/m (No. 12)
Inequivalent atoms, fractional coordinates:
Cs: 0.0000 0.0000 0.0000 (multiplicity 2)
Cs: 0.0000 0.3380 0.0000 (multiplicity 4)
Rb: 0.0000 0.1690 0.5000 (multiplicity 4)
Sn: 0.0000 0.5000 0.5000 (multiplicity 2)
Cl: 0.2383 0.5000 0.3005 (multiplicity 4)
Cl: 0.2485 0.3267 0.7364 (multiplicity 8)

## Properties
Energy ... -3.25 eV/atom
M_tot ... 2.0 μB per cell